A plane-wave DFT calculation with GGA-PBE was carried out for an optimized crystal structure of Dy5Pd4Au.

Cell lengths 3.5128, 3.5128, 17.7790 Å; angles 90.00, 90.00, 90.00 degrees
Sites, in units of the cell vectors:
Dy 0.0000 0.0000 0.0000
Dy 0.0000 0.0000 0.1979
Dy 0.0000 0.0000 0.3962
Dy 0.0000 0.0000 0.6038
Dy 0.0000 0.0000 0.8021
Pd 0.5000 0.5000 0.0987
Pd 0.5000 0.5000 0.2970
Pd 0.5000 0.5000 0.7030
Pd 0.5000 0.5000 0.9013
Au 0.5000 0.5000 0.5000

- Total moment: 0.00 μB/f.u.
- Energy relative to the elements: -20.20 kcal/mol of atoms
- Space-group type: P4/mmm
- VASP energy: -5.582 eV per atom


A plane-wave DFT calculation with GGA-PBE was carried out for an optimized crystal structure of DyPd6Au3.

Cell lengths 8.6861, 4.2815, 9.2862 Å; angles 90.00, 95.23, 90.00 degrees
Sites, in units of the cell vectors:
Dy 0.0665 0.2500 0.3747
Dy 0.9335 0.7500 0.6253
Pd 0.0507 0.7500 0.9102
Pd 0.1477 0.2500 0.7018
Pd 0.1603 0.7500 0.2044
Pd 0.2486 0.7500 0.5092
Pd 0.3654 0.2500 0.3017
Pd 0.4546 0.7500 0.1018
Pd 0.5454 0.2500 0.8982
Pd 0.6346 0.7500 0.6983
Pd 0.7514 0.2500 0.4908
Pd 0.8397 0.2500 0.7956
Pd 0.8523 0.7500 0.2982
Pd 0.9493 0.2500 0.0898
Au 0.2515 0.2500 0.0095
Au 0.3423 0.7500 0.8089
Au 0.4480 0.2500 0.6010
Au 0.5520 0.7500 0.3990
Au 0.6577 0.2500 0.1911
Au 0.7485 0.7500 0.9905

- Total moment: 0.00 μB/f.u.
- Energy relative to the elements: -7.81 kcal/mol of atoms
- Space-group type: P2_1/m
- VASP energy: -4.898 eV per atom
- E above lowest polymorph: 0.0 meV/atom


A plane-wave DFT calculation with GGA-PBE was carried out for an optimized crystal structure of Dy8Pd2Au.

Cell lengths 7.8636, 7.8636, 5.7840 Å; angles 99.87, 99.87, 115.27 degrees
Sites, in units of the cell vectors:
Dy 0.0000 0.0000 0.0000
Dy 0.0330 0.2848 0.5792
Dy 0.1512 0.5919 0.1842
Dy 0.2848 0.0330 0.5792
Dy 0.4597 0.7116 0.7755
Dy 0.5919 0.1512 0.1842
Dy 0.7116 0.4597 0.7755
Dy 0.7467 0.7467 0.3669
Pd 0.0726 0.6756 0.6873
Pd 0.6756 0.0726 0.6873
Au 0.3718 0.3718 0.3185

- Total moment: 0.00 μB/f.u.
- Energy relative to the elements: -8.37 kcal/mol of atoms
- Space-group type: Cm
- VASP energy: -4.952 eV per atom
- E above lowest polymorph: 105.2 meV/atom


A plane-wave DFT calculation with GGA-PBE was carried out for an optimized crystal structure of Dy2Pd6Au.

Cell lengths 5.6612, 5.6612, 6.2768 Å; angles 97.23, 97.23, 58.53 degrees
Sites, in units of the cell vectors:
Dy 0.1670 0.1670 0.1673
Dy 0.8330 0.8330 0.8327
Pd 0.1550 0.6771 0.3088
Pd 0.3166 0.3166 0.6314
Pd 0.3229 0.8450 0.6912
Pd 0.6771 0.1550 0.3088
Pd 0.6834 0.6834 0.3686
Pd 0.8450 0.3229 0.6912
Au 0.5000 0.5000 0.0000

- Total moment: 0.00 μB/f.u.
- Energy relative to the elements: -14.52 kcal/mol of atoms
- Space-group type: C2/m
- VASP energy: -5.479 eV per atom
- E above lowest polymorph: 39.2 meV/atom


A plane-wave DFT calculation with GGA-PBE was carried out for an optimized crystal structure of DyPdAu2.

Cell lengths 4.2029, 7.7264, 5.4048 Å; angles 90.00, 112.78, 90.00 degrees
Sites, in units of the cell vectors:
Dy 0.0667 0.2500 0.1311
Dy 0.9333 0.7500 0.8689
Pd 0.2275 0.7500 0.4598
Pd 0.7725 0.2500 0.5402
Au 0.3702 0.0565 0.7370
Au 0.3702 0.4435 0.7370
Au 0.6298 0.5565 0.2630
Au 0.6298 0.9435 0.2630

- Total moment: 0.00 μB/f.u.
- Energy relative to the elements: -16.20 kcal/mol of atoms
- Space-group type: P2_1/m
- VASP energy: -4.790 eV per atom


A plane-wave DFT calculation with GGA-PBE was carried out for an optimized crystal structure of DyPd5Au4.

Cell lengths 4.8119, 5.4432, 7.2707 Å; angles 86.65, 85.30, 89.86 degrees
Sites, in units of the cell vectors:
Dy 0.0000 0.0000 0.0000
Pd 0.0084 0.3928 0.6904
Pd 0.4833 0.8376 0.1948
Pd 0.5000 0.5000 0.5000
Pd 0.5167 0.1624 0.8052
Pd 0.9916 0.6072 0.3096
Au 0.2019 0.9018 0.5919
Au 0.4578 0.3372 0.1540
Au 0.5422 0.6628 0.8460
Au 0.7981 0.0982 0.4081

- Total moment: 0.00 μB/f.u.
- Energy relative to the elements: -5.37 kcal/mol of atoms
- Space-group type: P-1
- VASP energy: -4.600 eV per atom
- E above lowest polymorph: 55.3 meV/atom


Copy entry 5 word for word.
A plane-wave DFT calculation with GGA-PBE was carried out for an optimized crystal structure of DyPdAu2.

Cell lengths 4.2029, 7.7264, 5.4048 Å; angles 90.00, 112.78, 90.00 degrees
Sites, in units of the cell vectors:
Dy 0.0667 0.2500 0.1311
Dy 0.9333 0.7500 0.8689
Pd 0.2275 0.7500 0.4598
Pd 0.7725 0.2500 0.5402
Au 0.3702 0.0565 0.7370
Au 0.3702 0.4435 0.7370
Au 0.6298 0.5565 0.2630
Au 0.6298 0.9435 0.2630

- Total moment: 0.00 μB/f.u.
- Energy relative to the elements: -16.20 kcal/mol of atoms
- Space-group type: P2_1/m
- VASP energy: -4.790 eV per atom


Q: What is the formula in the fifth record?
A: DyPdAu2